{"formula": "Pr2Tm4ThSc", "functional": "PBE-GGA", "state": "optimized geometry", "delta_e_f_mev_per_atom": 125, "space_group": "P4/mmm, No. 123", "final_energy_ev_per_cell": -40.2, "cell": [[-2.151, -2.156, 4.884], [5.163, 0.526, 2.506], [3.350, 7.481, 4.778]], "species": ["Pr", "Pr", "Tm", "Tm", "Tm", "Tm", "Th", "Sc"], "fractional_positions": [[0.000, 0.000, 0.000], [0.500, 0.000, 0.500], [0.000, 0.744, 0.756], [0.000, 0.256, 0.244], [0.500, 0.756, 0.243], [0.500, 0.244, 0.757], [0.000, 0.500, 0.500], [0.500, 0.500, 0.000]]}